A relaxed structure of Mg5Cd6Pb. Source: Alexandria, functional PBE.

a = 4.5081 Å, b = 8.4114 Å, c = 8.4183 Å
α = 63.30°, β = 75.70°, γ = 75.70°
With the nearest neighbours (Å) after each atom.
Space group P-1 (No. 2)
Unique sites:
Mg  0.0000  0.0000  0.0000 [1 per cell]  8 Cd 3.04-3.18, 4 Mg 3.21-3.30
Mg  0.3280  0.1711  0.1705 [2 per cell]  8 Cd 3.09-3.15, 4 Mg 3.16-3.30
Mg  0.3370  0.6628  0.6643 [2 per cell]  8 Cd 3.09-3.27, 2 Pb 3.14-3.22, 2 Mg 3.16-3.24
Cd  0.1750  0.0679  0.5877 [2 per cell]  4 Cd 3.09-3.31, 7 Mg 3.09-3.24, 1 Pb 3.29
Cd  0.1748  0.5878  0.0681 [2 per cell]  7 Mg 3.09-3.23, 4 Cd 3.09-3.32, 1 Pb 3.29
Cd  0.5001  0.2307  0.7690 [2 per cell]  6 Mg 3.04-3.27, 4 Cd 3.21-3.32, 2 Pb 3.28
Pb  0.0000  0.5000  0.5000 [1 per cell]  4 Mg 3.14-3.22, 8 Cd 3.28-3.29

- Uncorrected energy: -1.500 eV/atom
- Total moment: 0.00 Bohr magnetons per cell
- Energy of formation from the pure elements: -69 meV/atom